No. 1
First-principles (PBE) data for crystalline Ba3CrI at its relaxed geometry, as listed in Alexandria.

Geometry as POSCAR:
```
Ba3CrI
1.0
-3.720 4.987 2.132
-5.053 -2.247 -3.560
-1.971 -3.651 5.102
I Ba Cr
1 3 1
Cartesian
0.000 0.000 0.000
-1.860 2.493 1.066
-2.526 -1.123 -1.780
-0.985 -1.826 2.551
-5.372 -0.456 1.837
```

- Excess energy over the best structure of this formula in the dataset: 0 meV per atom
- SG: No. 221
- Volume: 56.887 Å³/atom
- Energy relative to the elements, uncorrected: 1.135 eV/f.u.
- Total DFT energy (no corrections): -3.161 eV/atom

=====

No. 2
First-principles (PBE) data for crystalline CdNiBiSb2 at its relaxed geometry, as listed in Alexandria.

Geometry as POSCAR:
```
CdNiBiSb2
1.0
-3.331 4.076 -2.720
-3.629 -3.058 -0.137
-1.870 1.983 5.261
Cd Sb Ni Bi
1 2 1 1
Cartesian
-4.415 1.501 1.202
-1.666 2.038 -1.360
-0.935 0.992 2.630
-1.815 -1.529 -0.068
0.000 0.000 0.000
```

- SG: No. 123
- Volume: 33.333 Å³/atom
- Energy relative to the elements, uncorrected: 4.422 eV/f.u.
- Total DFT energy (no corrections): -2.880 eV/atom

=====

No. 3
First-principles (PBE) data for crystalline Sn3PdPt12 at its relaxed geometry, as listed in Alexandria.

Geometry as POSCAR:
```
Sn3PdPt12
1.0
4.036 0.000 0.000
0.000 4.036 0.000
0.000 0.000 16.133
Sn Pt Pd
3 12 1
Cartesian
0.000 0.000 8.066
0.000 0.000 12.208
0.000 0.000 3.925
2.018 2.018 12.111
2.018 2.018 0.000
0.000 2.018 14.164
2.018 0.000 1.969
2.018 0.000 14.164
0.000 2.018 10.108
0.000 2.018 6.025
2.018 0.000 10.108
2.018 2.018 8.066
0.000 2.018 1.969
2.018 2.018 4.022
2.018 0.000 6.025
0.000 0.000 0.000
```

- SG: No. 123
- Volume: 16.421 Å³/atom
- Total DFT energy (no corrections): -5.891 eV/atom

=====

No. 4
First-principles (PBE) data for crystalline ScAg at its relaxed geometry, as listed in Alexandria.

Geometry as POSCAR:
```
ScAg
1.0
-6.865 8.169 -0.592
-7.987 -6.506 2.844
0.542 0.678 3.073
Sc Ag
8 8
Cartesian
-3.108 2.456 1.665
-5.707 -2.893 3.304
-9.436 -2.443 2.203
-4.047 -1.285 0.997
-5.416 4.105 0.049
-8.604 5.234 2.022
-10.805 2.948 1.255
-11.202 -0.115 3.660
-6.930 -1.054 1.454
-7.922 2.716 0.798
-8.212 -4.282 4.052
-6.098 6.623 1.273
-12.697 2.423 3.363
-9.310 0.410 1.551
-1.613 -0.082 1.962
-5.542 1.253 0.701
```

- SG: No. 87
- Volume: 22.795 Å³/atom
- Total DFT energy (no corrections): -4.495 eV/atom

=====

No. 5
First-principles (PBE) data for crystalline NdHoZnGa at its relaxed geometry, as listed in Alexandria.

Geometry as POSCAR:
```
NdHoZnGa
1.0
-4.713 0.496 -1.972
-4.112 -0.419 3.043
-2.817 4.149 1.094
Ho Ga Zn Nd
1 1 1 1
Cartesian
0.000 0.000 0.000
-2.910 1.056 0.541
-8.731 3.169 1.624
-5.821 2.113 1.083
```

- SG: No. 216
- Volume: 23.904 Å³/atom
- Total DFT energy (no corrections): -3.866 eV/atom

=====

No. 6
First-principles (PBE) data for crystalline LiCeYFe at its relaxed geometry, as listed in Alexandria.

Geometry as POSCAR:
```
LiCeYFe
1.0
-1.255 -0.265 4.716
2.831 -2.441 3.149
2.585 2.436 3.357
Ce Y Li Fe
1 1 1 1
Cartesian
1.041 -0.067 2.805
3.122 -0.202 8.416
0.000 0.000 0.000
2.081 -0.135 5.611
```

- SG: No. 216
- Volume: 20.637 Å³/atom
- Total DFT energy (no corrections): -5.555 eV/atom

=====

Q: Among the records above, which one has the highest total DFT energy (no corrections)?
A: CdNiBiSb2